Y2GaGe (GGA-PBE, relaxed); energy of formation = -0.62 eV/atom; electronic total energy = -23.06 eV for the cell shown; density of states at the Fermi level = 2.0 states/eV/cell; SG = P4/mmm
1.0
4.779 0.000 0.000
0.000 4.779 0.000
0.000 0.000 3.993
Y Ga Ge
2 1 1
Cartesian
0.000 2.390 0.000
2.390 0.000 0.000
0.000 0.000 1.997
2.390 2.390 1.997